Li2WBr, single point on PBEsol structure, DFT meta-GGA SCAN; mass density = 7.01 Mg/m³; E above lowest polymorph = 0.39 eV per formula unit; raw formation energy = 0.267 eV per atom; final energy = -23.21 eV per atom
1.0
2.8431 0.0000 0.0000
0.0000 2.8431 0.0000
0.0000 0.0000 8.1311
Li W Br
2 1 1
Cartesian
0.0000 0.0000 1.8147 Li
0.0000 0.0000 6.3165 Li
1.4215 1.4215 4.0656 W
1.4215 1.4215 0.0000 Br

LiW2Br, single point on PBEsol structure, DFT meta-GGA SCAN; mass density = 10.87 Mg/m³; E above lowest polymorph = 3.00 eV per formula unit; raw formation energy = 0.970 eV per atom; final energy = -39.34 eV per atom
1.0
-1.8121 1.8121 5.2857
1.8121 -1.8121 5.2857
1.8121 1.8121 -5.2857
Li W Br
1 2 1
Cartesian
0.0000 0.0000 0.0000 Li
1.8121 0.0000 2.6429 W
0.0000 1.8121 2.6429 W
0.0000 0.0000 5.2857 Br

LiW2Br, single point on PBEsol structure, DFT meta-GGA SCAN; mass density = 11.23 Mg/m³; E above lowest polymorph = 2.74 eV per formula unit; raw formation energy = 0.905 eV per atom; final energy = -39.40 eV per atom
1.0
3.0513 0.0000 0.0000
0.0000 4.2741 0.0000
0.0000 0.0000 5.1523
Li W Br
1 2 1
Cartesian
0.0000 0.0000 0.0000 Li
0.0000 2.1371 2.5762 W
1.5257 0.0000 2.5762 W
1.5257 2.1371 0.0000 Br

Li2WBr, single point on PBEsol structure, DFT meta-GGA SCAN; mass density = 7.29 Mg/m³; E above lowest polymorph = 2.51 eV per formula unit; raw formation energy = 0.797 eV per atom; final energy = -22.68 eV per atom
1.0
4.6547 0.0000 0.0000
0.0000 4.6547 0.0000
0.0000 0.0000 2.9202
Li W Br
2 1 1
Cartesian
0.0000 2.3273 0.0000 Li
2.3273 0.0000 0.0000 Li
0.0000 0.0000 1.4601 W
2.3273 2.3273 1.4601 Br

Li2WBr, single point on PBEsol structure, DFT meta-GGA SCAN; mass density = 7.04 Mg/m³; E above lowest polymorph = 0.00 eV per formula unit; raw formation energy = 0.170 eV per atom; final energy = -23.31 eV per atom
1.0
1.5523 -2.4211 0.0000
1.5523 2.4211 0.0000
0.0000 0.0000 8.7114
Li W Br
2 1 1
Cartesian
0.0000 0.0000 1.9729 Li
0.0000 0.0000 6.7386 Li
1.5523 0.0000 4.3557 W
1.5523 0.0000 0.0000 Br

LiW2Br, single point on PBEsol structure, DFT meta-GGA SCAN; mass density = 10.89 Mg/m³; E above lowest polymorph = 0.00 eV per formula unit; raw formation energy = 0.219 eV per atom; final energy = -40.09 eV per atom
1.0
3.2527 0.0000 0.0000
0.0000 1.6426 6.4830
0.0000 -1.6426 6.4830
Li W Br
1 2 1
Cartesian
0.0000 0.0000 0.0000 Li
0.0000 0.0000 10.0653 W
1.6264 0.0000 4.7257 W
1.6264 0.0000 7.5194 Br

LiWBr2, single point on PBEsol structure, DFT meta-GGA SCAN; mass density = 7.87 Mg/m³; E above lowest polymorph = 0.00 eV per formula unit; raw formation energy = 0.333 eV per atom; final energy = -27.42 eV per atom
1.0
1.5655 -2.9398 0.0000
1.5655 2.9398 0.0000
0.0000 0.0000 8.0349
Li W Br
1 1 2
Cartesian
0.0000 0.0000 0.0000 Li
0.0000 0.0000 4.0174 W
1.5655 0.0000 1.9493 Br
1.5655 0.0000 6.0856 Br

Li2Y2Br, single point on PBEsol structure, DFT meta-GGA SCAN; mass density = 3.97 Mg/m³; raw formation energy = -0.185 eV per atom; final energy = -16.17 eV per atom
1.0
-1.7606 1.7606 9.1523
1.7606 -1.7606 9.1523
1.7606 1.7606 -9.1523
Li Y Br
2 2 1
Cartesian
1.7606 0.0000 4.5761 Li
0.0000 1.7606 4.5761 Li
0.0000 0.0000 1.8430 Y
0.0000 0.0000 16.4615 Y
0.0000 0.0000 9.1523 Br

LiY2Br, single point on PBEsol structure, DFT meta-GGA SCAN; mass density = 4.43 Mg/m³; E above lowest polymorph = 0.48 eV per formula unit; raw formation energy = -0.351 eV per atom; final energy = -19.73 eV per atom
1.0
-1.7086 2.6671 5.4366
1.7086 -2.6671 5.4366
1.7086 2.6671 -5.4366
Li Y Br
1 2 1
Cartesian
0.0000 0.0000 0.0000 Li
0.0000 0.0000 4.7015 Y
0.0000 2.6671 2.2442 Y
1.7086 0.0000 2.2158 Br

LiY2Br, single point on PBEsol structure, DFT meta-GGA SCAN; mass density = 4.14 Mg/m³; E above lowest polymorph = 3.01 eV per formula unit; raw formation energy = 0.281 eV per atom; final energy = -19.10 eV per atom
1.0
0.0000 3.7596 3.7596
3.7596 0.0000 3.7596
3.7596 3.7596 0.0000
Li Y Br
1 2 1
Cartesian
0.0000 0.0000 0.0000 Li
3.7596 3.7596 3.7596 Y
5.6394 5.6394 5.6394 Y
1.8798 1.8798 1.8798 Br

LiY2Br, single point on PBEsol structure, DFT meta-GGA SCAN; mass density = 4.66 Mg/m³; E above lowest polymorph = 0.00 eV per formula unit; raw formation energy = -0.472 eV per atom; final energy = -19.86 eV per atom
1.0
3.9902 0.0000 0.0000
0.0000 2.0129 5.8737
0.0000 -2.0129 5.8737
Li Y Br
1 2 1
Cartesian
0.0000 0.0000 0.0000 Li
0.0000 0.0000 8.4740 Y
1.9951 0.0000 4.7320 Y
1.9951 0.0000 1.6491 Br

LiY2Br, single point on PBEsol structure, DFT meta-GGA SCAN; mass density = 4.18 Mg/m³; E above lowest polymorph = 0.36 eV per formula unit; raw formation energy = -0.383 eV per atom; final energy = -19.77 eV per atom
1.0
1.8569 -2.8841 0.0000
1.8569 2.8841 0.0000
0.0000 0.0000 9.8111
Li Y Br
1 2 1
Cartesian
0.0000 0.0000 0.0000 Li
1.8569 0.0000 2.5699 Y
1.8569 0.0000 7.2413 Y
0.0000 0.0000 4.9056 Br

Li2ZnBr, single point on PBEsol structure, DFT meta-GGA SCAN; mass density = 3.14 Mg/m³; E above lowest polymorph = 0.21 eV per formula unit; raw formation energy = -0.584 eV per atom; final energy = -10.02 eV per atom
1.0
3.5969 0.0000 0.0000
0.0000 3.5969 0.0000
0.0000 0.0000 6.5090
Li Zn Br
2 1 1
Cartesian
0.0000 0.0000 0.0000 Li
1.7985 1.7985 2.1279 Li
0.0000 0.0000 2.9297 Zn
1.7985 1.7985 6.0798 Br

Li2ZnBr4, single point on PBEsol structure, DFT meta-GGA SCAN; mass density = 3.97 Mg/m³; raw formation energy = -1.388 eV per atom; final energy = -15.12 eV per atom
1.0
13.4360 0.0000 0.0000
0.0000 7.7667 0.0000
0.0000 0.0000 6.3955
Li Zn Br
8 4 16
Cartesian
0.0000 0.0000 0.0000 Li
0.0000 3.8833 0.0000 Li
3.1633 1.9417 3.1873 Li
3.5548 5.8250 6.3850 Li
6.7180 0.0000 3.1977 Li
6.7180 3.8833 3.1977 Li
9.8813 1.9417 0.0105 Li
10.2728 5.8250 3.2082 Li
1.1690 5.8250 3.7827 Zn
5.5490 1.9417 0.5850 Zn
7.8870 5.8250 5.8105 Zn
12.2670 1.9417 2.6128 Zn
1.0250 1.9417 1.5879 Br
1.1988 5.8250 1.4091 Br
2.2441 3.9265 4.8204 Br
2.2441 7.7235 4.8204 Br
4.4739 0.0432 1.6227 Br
4.4739 3.8402 1.6227 Br
5.5192 1.9417 4.6069 Br
5.6930 5.8250 4.7856 Br
7.7430 1.9417 1.6099 Br
7.9168 5.8250 1.7886 Br
8.9621 3.9265 4.7728 Br
8.9621 7.7235 4.7728 Br
11.1920 0.0432 1.5751 Br
11.1920 3.8402 1.5751 Br
12.2372 1.9417 4.9863 Br
12.4110 5.8250 4.8076 Br

Li2ZnBr, single point on PBEsol structure, DFT meta-GGA SCAN; mass density = 3.55 Mg/m³; E above lowest polymorph = 0.53 eV per formula unit; raw formation energy = -0.504 eV per atom; final energy = -9.94 eV per atom
1.0
4.6238 0.0000 0.0000
0.0000 4.6238 0.0000
0.0000 0.0000 3.4856
Li Zn Br
2 1 1
Cartesian
0.0000 2.3119 0.0000 Li
2.3119 0.0000 0.0000 Li
0.0000 0.0000 1.7428 Zn
2.3119 2.3119 1.7428 Br